1.
Below is a relaxed CdBiSb crystal, with properties calculated at the GGA-PBE level.

Geometry as CIF:
```
data_CdBiSb
_space_group_name_H-M_alt 'F -4 3 m'
_space_group_IT_number 216
_space_group_name_Hall 'F -4 2 3'
_cell_length_a 7.396
_cell_length_b 7.396
_cell_length_c 7.396
_cell_angle_alpha 90.00
_cell_angle_beta 90.00
_cell_angle_gamma 90.00
loop_
_atom_site_label
_atom_site_type_symbol
_atom_site_fract_x
_atom_site_fract_y
_atom_site_fract_z
Cd1 Cd 0.000 0.000 0.000
Bi1 Bi 0.000 0.000 0.500
Sb1 Sb 0.250 0.250 0.250
```

## Properties
Total energy ... -2.8083 eV per atom
Formation energy from raw total energies ... 3.8 kcal/mol of atoms

***

2.
Below is a relaxed Th4SbAu crystal, with properties calculated at the GGA-PBE level.

Geometry as CIF:
```
data_Th4SbAu
_space_group_name_H-M_alt 'C 1 2/c 1'
_space_group_IT_number 15
_cell_length_a 16.650
_cell_length_b 6.246
_cell_length_c 7.552
_cell_angle_alpha 90.00
_cell_angle_beta 105.20
_cell_angle_gamma 90.00
loop_
_space_group_symop_operation_xyz
'x,y,z'
'-x,-y,-z'
'-x,y,-z+1/2'
'x,-y,z+1/2'
'x+1/2,y+1/2,z'
'-x+1/2,-y+1/2,-z'
'-x+1/2,y+1/2,-z+1/2'
'x+1/2,-y+1/2,z+1/2'
loop_
_atom_site_label
_atom_site_type_symbol
_atom_site_fract_x
_atom_site_fract_y
_atom_site_fract_z
Th1 Th 0.076 0.107 0.471
Th2 Th 0.160 0.384 0.116
Sb1 Sb 0.000 0.401 0.750
Au1 Au 0.250 0.250 0.500
```

## Properties
Total energy ... -6.3848 eV per atom
Formation energy from raw total energies ... -4.7 kcal/mol of atoms

***

3.
Below is a relaxed VAs3Ir crystal, with properties calculated at the GGA-PBE level.

Geometry as CIF:
```
data_VAs3Ir
_space_group_name_H-M_alt 'P m -3 m'
_space_group_IT_number 221
_space_group_name_Hall '-P 4 2 3'
_cell_length_a 4.634
_cell_length_b 4.634
_cell_length_c 4.634
_cell_angle_alpha 90.00
_cell_angle_beta 90.00
_cell_angle_gamma 90.00
loop_
_atom_site_label
_atom_site_type_symbol
_atom_site_fract_x
_atom_site_fract_y
_atom_site_fract_z
V1 V 0.000 0.000 0.000
As1 As 0.000 0.000 0.500
Ir1 Ir 0.500 0.500 0.500
```

## Properties
DFT formation energy ... 792 meV/atom
Total energy ... -5.5938 eV per atom

***

no.,E above lowest polymorph (meV per atom)
1,116
2,280
3,0